# 1
A geometry-optimized KTcMoO6 structure, computed with PBE with a Hubbard U.

Cell: 5.325 5.326 5.920 Å, 90.03 89.96 59.90°
Site moments in Bohr magnetons follow the coordinates.
Sites, in units of the cell vectors:
K (0.000, 0.000, 0.991)  0.00
Tc (0.334, 0.334, 0.520)  1.37
Mo (0.666, 0.667, 0.475)  0.50
O (0.001, 0.388, 0.318)  -0.03
O (0.408, 0.995, 0.687)  0.04
O (0.597, 0.407, 0.687)  0.04
O (0.995, 0.597, 0.687)  0.04
O (0.388, 0.611, 0.318)  -0.03
O (0.610, 0.001, 0.317)  -0.03

Computed properties:
crystal system: triclinic
DFT total energy: -0.5072 Ry per atom


# 2
A geometry-optimized KTc2MoO8 structure, computed with PBE with a Hubbard U.

Cell: 5.835 5.835 7.434 Å, 90.00 90.00 120.00°
Site moments in Bohr magnetons follow the coordinates.
Sites, in units of the cell vectors:
K (0.000, 0.000, 0.000)  0.00
Tc (0.667, 0.333, 0.250)  -0.49
Tc (0.333, 0.667, 0.750)  -0.49
Mo (0.000, 0.000, 0.500)  2.33
O (0.333, 0.667, 0.985)  -0.03
O (0.331, 0.164, 0.331)  -0.04
O (0.836, 0.167, 0.331)  -0.04
O (0.667, 0.333, 0.015)  -0.03
O (0.164, 0.833, 0.669)  -0.04
O (0.669, 0.836, 0.669)  -0.04
O (0.167, 0.331, 0.669)  -0.04
O (0.833, 0.669, 0.331)  -0.04

Computed properties:
crystal system: trigonal
DFT total energy: -0.5310 Ry per atom


# 3
A geometry-optimized KTeMoO5 structure, computed with PBE with a Hubbard U.

Cell: 5.932 5.932 7.591 Å, 99.14 99.14 106.08°
Site moments in Bohr magnetons follow the coordinates.
Sites, in units of the cell vectors:
K (0.328, 0.672, 0.250)  0.00
K (0.672, 0.328, 0.750)  0.00
Te (0.672, 0.328, 0.250)  0.01
Te (0.328, 0.672, 0.750)  0.01
Mo (0.000, 0.000, 0.500)  0.99
Mo (0.000, 0.000, 0.000)  0.99
O (0.059, 0.941, 0.250)  0.02
O (0.941, 0.059, 0.750)  0.02
O (0.907, 0.307, 0.107)  0.00
O (0.093, 0.693, 0.893)  0.00
O (0.693, 0.093, 0.393)  0.00
O (0.307, 0.907, 0.607)  0.00
O (0.824, 0.660, 0.461)  -0.03
O (0.176, 0.340, 0.539)  -0.03
O (0.340, 0.176, 0.039)  -0.03
O (0.660, 0.824, 0.961)  -0.03

Computed properties:
crystal system: monoclinic
DFT total energy: -0.4322 Ry per atom


# 4
A geometry-optimized K2TeMoO6 structure, computed with PBE with a Hubbard U.

Cell: 5.849 5.849 5.849 Å, 60.00 60.00 90.00°
Sites, in units of the cell vectors:
K (0.750, 0.250, 0.500)
K (0.250, 0.750, 0.500)
Te (0.500, 0.500, 0.000)
Mo (0.000, 0.000, 0.000)
O (0.236, 0.236, 0.527)
O (0.764, 0.763, 0.000)
O (0.236, 0.764, 0.000)
O (0.764, 0.236, 0.000)
O (0.236, 0.237, 0.000)
O (0.764, 0.764, 0.473)

Computed properties:
crystal system: cubic
DFT total energy: -0.4186 Ry per atom


# 5
A geometry-optimized KTeMo2O8 structure, computed with PBE with a Hubbard U.

Cell: 5.573 5.573 8.088 Å, 87.22 87.22 66.55°
Site moments in Bohr magnetons follow the coordinates.
Sites, in units of the cell vectors:
K (0.000, 0.000, 0.500)  0.00
Te (0.000, 0.000, 0.000)  0.13
Mo (0.630, 0.630, 0.225)  0.48
Mo (0.370, 0.370, 0.775)  0.48
O (0.729, 0.225, 0.802)  -0.03
O (0.777, 0.777, 0.059)  -0.01
O (0.704, 0.704, 0.419)  -0.03
O (0.296, 0.296, 0.581)  -0.03
O (0.223, 0.223, 0.941)  -0.01
O (0.225, 0.729, 0.802)  -0.03
O (0.775, 0.271, 0.198)  -0.03
O (0.271, 0.775, 0.198)  -0.03

Computed properties:
crystal system: monoclinic
DFT total energy: -0.4613 Ry per atom


# 6
A geometry-optimized KTe2MoO8 structure, computed with PBE with a Hubbard U.

Cell: 5.348 5.104 7.152 Å, 86.34 80.43 82.00°
Sites, in units of the cell vectors:
K (0.000, 0.000, 0.500)
Te (0.447, 0.468, 0.743)
Te (0.553, 0.532, 0.257)
Mo (0.000, 0.000, 0.000)
O (0.196, 0.814, 0.171)
O (0.730, 0.769, 0.072)
O (0.837, 0.243, 0.209)
O (0.804, 0.186, 0.829)
O (0.270, 0.231, 0.928)
O (0.163, 0.757, 0.791)
O (0.640, 0.688, 0.469)
O (0.360, 0.312, 0.531)

Computed properties:
crystal system: triclinic
DFT total energy: -0.4176 Ry per atom


# 7
A geometry-optimized KTeMoO6 structure, computed with PBE with a Hubbard U.

Cell: 5.375 5.375 11.944 Å, 90.00 90.00 120.00°
Site moments in Bohr magnetons follow the coordinates.
Sites, in units of the cell vectors:
K (0.000, 0.000, 0.000)  0.00
K (0.000, 0.000, 0.500)  0.00
Te (0.333, 0.667, 0.250)  0.04
Te (0.667, 0.333, 0.750)  0.04
Mo (0.667, 0.333, 0.250)  0.94
Mo (0.333, 0.667, 0.750)  0.94
O (0.596, 0.601, 0.156)  0.00
O (0.005, 0.404, 0.156)  0.00
O (0.404, 0.005, 0.656)  0.00
O (0.995, 0.596, 0.844)  0.00
O (0.399, 0.404, 0.344)  0.00
O (0.005, 0.601, 0.344)  0.00
O (0.601, 0.005, 0.844)  0.00
O (0.596, 0.995, 0.344)  0.00
O (0.995, 0.399, 0.656)  0.00
O (0.399, 0.995, 0.156)  0.00
O (0.601, 0.596, 0.656)  0.00
O (0.404, 0.399, 0.844)  0.00

Computed properties:
crystal system: trigonal
DFT total energy: -0.4431 Ry per atom


# 8
A geometry-optimized KTh2MoO8 structure, computed with PBE with a Hubbard U.

Cell: 5.498 5.105 7.244 Å, 72.68 94.77 101.92°
Site moments in Bohr magnetons follow the coordinates.
Sites, in units of the cell vectors:
K (0.000, 0.000, 0.500)  0.00
Th (0.547, 0.363, 0.787)  0.00
Th (0.453, 0.637, 0.213)  0.00
Mo (0.000, 0.000, 0.000)  0.00
O (0.067, 0.732, 0.240)  0.00
O (0.744, 0.701, 0.938)  0.00
O (0.726, 0.083, 0.111)  0.00
O (0.933, 0.268, 0.760)  0.00
O (0.256, 0.299, 0.062)  0.00
O (0.274, 0.917, 0.889)  0.00
O (0.517, 0.723, 0.514)  0.09
O (0.483, 0.277, 0.486)  0.09

Computed properties:
crystal system: triclinic
DFT total energy: -0.5676 Ry per atom


# 9
A geometry-optimized K2TiMo3O12 structure, computed with PBE with a Hubbard U.

Cell: 7.285 7.285 7.285 Å, 60.73 60.73 60.73°
Sites, in units of the cell vectors:
K (0.644, 0.644, 0.644)
K (0.356, 0.356, 0.356)
Ti (0.000, 0.000, 0.000)
Mo (0.500, 0.000, 0.000)
Mo (0.000, 0.500, 0.000)
Mo (0.000, 0.000, 0.500)
O (0.313, 0.313, 0.942)
O (0.940, 0.940, 0.313)
O (0.313, 0.940, 0.940)
O (0.942, 0.313, 0.313)
O (0.940, 0.313, 0.940)
O (0.313, 0.942, 0.313)
O (0.687, 0.687, 0.058)
O (0.060, 0.060, 0.687)
O (0.687, 0.060, 0.060)
O (0.058, 0.687, 0.687)
O (0.060, 0.687, 0.060)
O (0.687, 0.058, 0.687)

Computed properties:
crystal system: trigonal
DFT total energy: -0.5111 Ry per atom


# 10
A geometry-optimized KTl3Mo2O8 structure, computed with PBE with a Hubbard U.

Cell: 6.376 6.376 8.230 Å, 90.00 90.00 120.00°
Sites, in units of the cell vectors:
K (0.000, 0.000, 0.500)
Tl (0.333, 0.667, 0.682)
Tl (0.667, 0.333, 0.318)
Tl (0.000, 0.000, 0.000)
Mo (0.333, 0.667, 0.196)
Mo (0.667, 0.333, 0.804)
O (0.333, 0.667, 0.977)
O (0.667, 0.333, 0.023)
O (0.180, 0.820, 0.271)
O (0.820, 0.180, 0.729)
O (0.180, 0.360, 0.271)
O (0.820, 0.640, 0.729)
O (0.640, 0.820, 0.271)
O (0.360, 0.180, 0.729)

Computed properties:
crystal system: trigonal
DFT total energy: -0.4345 Ry per atom


# 11
A geometry-optimized KTl2Mo2O7 structure, computed with PBE with a Hubbard U.

Cell: 6.219 6.219 9.049 Å, 69.90 69.90 60.00°
Site moments in Bohr magnetons follow the coordinates.
Sites, in units of the cell vectors:
K (0.500, 0.500, 0.500)  0.00
Tl (0.711, 0.711, 0.867)  0.01
Tl (0.289, 0.289, 0.133)  0.01
Mo (0.923, 0.923, 0.231)  0.52
Mo (0.077, 0.077, 0.769)  0.52
O (0.169, 0.920, 0.296)  -0.02
O (0.616, 0.169, 0.296)  -0.02
O (0.920, 0.616, 0.296)  -0.02
O (0.384, 0.080, 0.704)  -0.02
O (0.831, 0.384, 0.704)  -0.02
O (0.000, 0.000, 0.000)  -0.05
O (0.080, 0.831, 0.704)  -0.02

Computed properties:
crystal system: trigonal
DFT total energy: -0.4379 Ry per atom


# 12
A geometry-optimized K2TmMoO6 structure, computed with PBE with a Hubbard U.

Cell: 6.111 6.111 10.621 Å, 73.28 73.28 60.00°
Site moments in Bohr magnetons follow the coordinates.
Sites, in units of the cell vectors:
K (0.865, 0.865, 0.406)  0.00
K (0.135, 0.135, 0.594)  0.00
K (0.728, 0.728, 0.816)  0.00
K (0.272, 0.272, 0.184)  0.00
Tm (0.598, 0.598, 0.206)  -0.03
Tm (0.402, 0.402, 0.794)  -0.03
Mo (0.000, 0.000, 0.000)  -0.12
Mo (0.500, 0.500, 0.500)  -0.16
O (0.829, 0.396, 0.380)  0.19
O (0.396, 0.829, 0.380)  0.19
O (0.396, 0.396, 0.380)  0.19
O (0.171, 0.604, 0.620)  0.19
O (0.604, 0.171, 0.620)  0.19
O (0.604, 0.604, 0.620)  0.19
O (0.736, 0.188, 0.889)  0.15
O (0.188, 0.736, 0.889)  0.15
O (0.188, 0.188, 0.889)  0.15
O (0.264, 0.812, 0.111)  0.15
O (0.812, 0.264, 0.111)  0.15
O (0.812, 0.812, 0.111)  0.15

Computed properties:
crystal system: trigonal
DFT total energy: -0.4684 Ry per atom